Below is a relaxed KTaTl crystal, with properties calculated at the PBE level.

## Properties
Energy of formation (eV per atom): 1.62
Electronic total energy (eV/atom): -3.49
Density of states at the Fermi level (states/eV/atom): 2.06
Magnetization (μB per atom): 0.5734
Theoretical density (Mg/m³): 7.38
E above lowest polymorph (meV per atom): 804.9

```
KTaTl
1.0
0.000 3.628 3.628
3.628 0.000 3.628
3.628 3.628 0.000
K Ta Tl
1 1 1
direct
0.000 0.000 0.000 K
0.500 0.500 0.500 Ta
0.250 0.250 0.250 Tl
```